[1]
The following is a DFT calculation (PBE) of crystalline SrIn2P at its relaxed geometry.

Cell and atoms, written as POSCAR:
```
SrIn2P
1.0
2.019 -5.924 0.000
2.019 5.924 0.000
0.000 0.000 9.145
Sr P In
2 2 4
Direct
0.956 0.044 0.750 Sr
0.044 0.956 0.250 Sr
0.741 0.259 0.250 P
0.259 0.741 0.750 P
0.656 0.344 0.565 In
0.656 0.344 0.935 In
0.344 0.656 0.065 In
0.344 0.656 0.435 In
```

Summary:
E_form ... -0.337 eV per atom
Magnetization ... 0.00 μB per formula unit
Density ... 5.29 g/cm3

---

[2]
The following is a DFT calculation (PBE) of crystalline SrInP2 at its relaxed geometry.

Cell and atoms, written as POSCAR:
```
SrInP2
1.0
-6.179 -4.133 -0.350
1.581 -2.927 6.657
-4.247 -0.759 4.835
Sr P In
2 4 2
Direct
0.250 0.750 0.500 Sr
0.500 0.500 0.000 Sr
0.875 0.927 0.750 P
0.375 0.323 0.750 P
0.073 0.625 0.250 P
0.677 0.125 0.250 P
0.000 0.000 0.000 In
0.750 0.250 0.500 In
```

Summary:
E_form ... -0.392 eV per atom
Magnetization ... 0.00 μB per formula unit
Density ... 4.19 g/cm3

---

[3]
The following is a DFT calculation (PBE) of crystalline SrInP2 at its relaxed geometry.

Cell and atoms, written as POSCAR:
```
SrInP2
1.0
7.325 0.057 0.035
6.171 3.947 0.035
6.171 1.831 3.497
Sr In P
1 1 2
Direct
0.250 0.250 0.250 Sr
0.750 0.750 0.750 In
0.488 0.488 0.488 P
0.012 0.012 0.012 P
```

Summary:
E_form ... -0.346 eV per atom
Magnetization ... 0.00 μB per formula unit
Density ... 4.44 g/cm3

---

[4]
The following is a DFT calculation (PBE) of crystalline SrIn2P at its relaxed geometry.

Cell and atoms, written as POSCAR:
```
SrIn2P
1.0
-0.143 3.875 -0.444
0.196 -0.437 -3.873
-6.900 -0.290 -0.316
In Sr P
2 1 1
Direct
0.500 0.500 0.269 In
0.000 0.000 0.051 In
0.500 0.500 0.727 Sr
0.000 0.000 0.453 P
```

Summary:
E_form ... -0.291 eV per atom
Magnetization ... 0.00 μB per formula unit
Density ... 5.49 g/cm3

---

[5]
The following is a DFT calculation (PBE) of crystalline Sr2InP at its relaxed geometry.

Cell and atoms, written as POSCAR:
```
Sr2InP
1.0
-3.339 -0.409 5.914
-3.324 5.238 2.794
0.740 -3.980 -5.469
Sr P In
2 1 1
Direct
0.956 0.956 0.000 Sr
0.249 0.749 0.500 Sr
0.734 0.234 0.500 P
0.561 0.561 0.000 In
```

Summary:
E_form ... -0.535 eV per atom
Magnetization ... 0.00 μB per formula unit
Density ... 4.43 g/cm3

---

[6]
The following is a DFT calculation (PBE) of crystalline Sr2InP2 at its relaxed geometry.

Cell and atoms, written as POSCAR:
```
Sr2InP2
1.0
2.942 5.578 0.011
-2.942 5.578 0.011
0.000 2.528 7.846
Sr P In
4 4 2
Direct
0.506 0.781 0.353 Sr
0.494 0.219 0.647 Sr
0.781 0.506 0.853 Sr
0.219 0.494 0.147 Sr
0.988 0.717 0.494 P
0.283 0.012 0.006 P
0.012 0.283 0.506 P
0.717 0.988 0.994 P
0.155 0.845 0.750 In
0.845 0.155 0.250 In
```

Summary:
E_form ... -0.727 eV per atom
Magnetization ... 0.00 μB per formula unit
Density ... 4.54 g/cm3

---

[7]
The following is a DFT calculation (PBE) of crystalline Sr2InP2 at its relaxed geometry.

Cell and atoms, written as POSCAR:
```
Sr2InP2
1.0
-6.108 -5.769 2.643
4.498 -6.524 -3.845
1.794 -0.528 2.994
Sr P In
4 4 2
Direct
0.636 0.136 0.000 Sr
0.864 0.636 0.000 Sr
0.136 0.364 0.000 Sr
0.364 0.864 0.000 Sr
0.165 0.665 0.500 P
0.835 0.335 0.500 P
0.335 0.165 0.500 P
0.665 0.835 0.500 P
0.500 0.500 0.000 In
0.000 0.000 0.000 In
```

Summary:
E_form ... -0.481 eV per atom
Magnetization ... 0.00 μB per formula unit
Density ... 4.27 g/cm3

---

[8]
The following is a DFT calculation (PBE) of crystalline SrInP at its relaxed geometry.

Cell and atoms, written as POSCAR:
```
SrInP
1.0
0.000 2.892 5.888
2.353 0.000 5.888
2.353 2.892 0.000
Sr In P
1 1 1
Direct
0.686 0.686 0.314 Sr
0.967 0.967 0.033 In
0.347 0.347 0.653 P
```

Summary:
E_form ... -0.403 eV per atom
Magnetization ... 0.00 μB per formula unit
Density ... 4.84 g/cm3

---

[9]
The following is a DFT calculation (PBE) of crystalline SrInP at its relaxed geometry.

Cell and atoms, written as POSCAR:
```
SrInP
1.0
3.959 0.000 0.000
0.000 7.403 0.000
0.000 0.000 11.490
P In Sr
4 4 4
Direct
0.250 0.152 0.865 P
0.750 0.348 0.365 P
0.750 0.848 0.135 P
0.250 0.652 0.635 P
0.750 0.187 0.035 In
0.250 0.813 0.965 In
0.250 0.313 0.535 In
0.750 0.687 0.465 In
0.250 0.524 0.192 Sr
0.750 0.976 0.692 Sr
0.250 0.024 0.308 Sr
0.750 0.476 0.808 Sr
```

Summary:
E_form ... -0.596 eV per atom
Magnetization ... 0.00 μB per formula unit
Density ... 4.60 g/cm3

---

[10]
The following is a DFT calculation (PBE) of crystalline SrInP2 at its relaxed geometry.

Cell and atoms, written as POSCAR:
```
SrInP2
1.0
5.899 -0.195 -0.450
4.422 3.909 -0.450
-0.499 -0.180 4.368
In Sr P
1 1 2
Direct
0.222 0.222 0.058 In
0.494 0.494 0.593 Sr
0.800 0.800 0.752 P
0.985 0.985 0.097 P
```

Summary:
E_form ... -0.397 eV per atom
Magnetization ... 0.00 μB per formula unit
Density ... 4.24 g/cm3

---

[11]
The following is a DFT calculation (PBE) of crystalline SrIn2P at its relaxed geometry.

Cell and atoms, written as POSCAR:
```
SrIn2P
1.0
-1.786 2.724 4.202
-0.643 5.267 -0.325
-4.891 2.082 -0.065
In Sr P
2 1 1
Direct
0.000 0.000 0.000 In
0.750 0.750 0.750 In
0.250 0.250 0.250 Sr
0.500 0.500 0.500 P
```

Summary:
E_form ... -0.152 eV per atom
Magnetization ... 0.00 μB per formula unit
Density ... 5.44 g/cm3

---

[12]
The following is a DFT calculation (PBE) of crystalline SrInP at its relaxed geometry.

Cell and atoms, written as POSCAR:
```
SrInP
1.0
0.000 3.615 3.615
3.615 0.000 3.615
3.615 3.615 0.000
Sr In P
1 1 1
Direct
0.000 0.000 0.000 Sr
0.500 0.500 0.500 In
0.250 0.250 0.250 P
```

Summary:
E_form ... -0.380 eV per atom
Magnetization ... 0.00 μB per formula unit
Density ... 4.10 g/cm3

---

[13]
The following is a DFT calculation (PBE) of crystalline SrInP2 at its relaxed geometry.

Cell and atoms, written as POSCAR:
```
SrInP2
1.0
5.293 -0.043 0.000
1.094 5.178 0.000
-3.193 -2.568 3.350
In Sr P
1 1 2
Direct
0.750 0.250 0.500 In
0.250 0.750 0.500 Sr
0.000 0.000 0.000 P
0.500 0.500 0.000 P
```

Summary:
E_form ... -0.141 eV per atom
Magnetization ... 0.00 μB per formula unit
Density ... 4.77 g/cm3

---

[14]
The following is a DFT calculation (PBE) of crystalline Sr2InP at its relaxed geometry.

Cell and atoms, written as POSCAR:
```
Sr2InP
1.0
1.895 -5.503 -0.232
-2.027 -2.495 4.857
-2.889 3.054 -4.031
In P Sr
1 1 2
Direct
0.500 0.500 0.000 In
0.000 0.000 0.000 P
0.250 0.750 0.500 Sr
0.750 0.250 0.500 Sr
```

Summary:
E_form ... -0.473 eV per atom
Magnetization ... 0.00 μB per formula unit
Density ... 4.59 g/cm3